Here is a relaxed GdLuPu2 crystal from Alexandria via LeMat-Bulk. Energies are from PBE-GGA.

SG   P4/mmm, No. 123
ρ   12.0 g cm⁻³
Calculated volume   113 Å³ per cell
Electronic total energy   -46.6 eV for the cell shown

a b c (Å): 4.7675 4.7675 4.9758
angles (deg): 90.00 90.00 90.00
Sites, in units of the cell vectors:
Gd: 0.0000 0.0000 0.0000
Lu: 0.5000 0.5000 0.0000
Pu: 0.0000 0.5000 0.5000
Pu: 0.5000 0.0000 0.5000